[1]
# DyBe5Fe7

A relaxed DyBe5Fe7 crystal (PBE, Alexandria).

Summary:
Magnetic moment in μB per formula unit: 13.17
Formation enthalpy at 0 K in eV per atom: -0.13
DOS(E_F) in states/eV/atom: 0.67

abc: 6.075 6.075 6.075
angles: 136.41 98.50 97.35
Positions (direct):
1 Dy 0.000 0.000 0.000
2 Be 0.000 0.497 0.003
3 Be 0.000 0.996 0.503
4 Be 0.231 0.731 0.500
5 Be 0.493 0.497 0.497
6 Be 0.493 0.996 0.997
7 Fe 0.218 0.496 0.721
8 Fe 0.355 0.998 0.357
9 Fe 0.359 0.359 0.000
10 Fe 0.641 0.641 0.000
11 Fe 0.642 0.998 0.643
12 Fe 0.773 0.273 0.500
13 Fe 0.775 0.496 0.279


[2]
# Er4CuAg2Hg

A relaxed Er4CuAg2Hg crystal (PBE, Alexandria).

Summary:
Magnetic moment in μB per formula unit: 0.00
Formation enthalpy at 0 K in eV per atom: -0.34
DOS(E_F) in states/eV/atom: 0.75

abc: 8.796 8.796 8.796
angles: 33.55 33.55 33.55
Positions (direct):
1 Er 0.120 0.120 0.120
2 Er 0.371 0.371 0.371
3 Er 0.629 0.629 0.629
4 Er 0.880 0.880 0.880
5 Cu 0.000 0.000 0.000
6 Ag 0.248 0.248 0.248
7 Ag 0.752 0.752 0.752
8 Hg 0.500 0.500 0.500


[3]
# Th6TcPb2

A relaxed Th6TcPb2 crystal (PBE, Alexandria).

Summary:
Magnetic moment in μB per formula unit: 0.00
Formation enthalpy at 0 K in eV per atom: -0.13
DOS(E_F) in states/eV/atom: 1.11

abc: 6.412 8.244 12.203
angles: 90.00 119.04 90.00
Positions (direct):
1 Th 0.082 0.193 0.459
2 Th 0.082 0.307 0.959
3 Th 0.326 0.674 0.464
4 Th 0.326 0.826 0.964
5 Th 0.373 0.025 0.252
6 Th 0.373 0.475 0.752
7 Th 0.627 0.525 0.248
8 Th 0.627 0.975 0.748
9 Th 0.674 0.174 0.036
10 Th 0.674 0.326 0.536
11 Th 0.918 0.693 0.041
12 Th 0.918 0.807 0.541
13 Tc 0.500 0.000 0.500
14 Tc 0.500 0.500 0.000
15 Pb 0.144 0.109 0.746
16 Pb 0.144 0.391 0.246
17 Pb 0.856 0.609 0.754
18 Pb 0.856 0.891 0.254


[4]
# BaSnTe2

A relaxed BaSnTe2 crystal (PBE, Alexandria).

Summary:
Formation energy without anion corrections in eV/atom: -0.36
Magnetic moment in μB per formula unit: 0.42
DOS(E_F) in states/eV/atom: 0.78

abc: 10.410 10.410 10.410
angles: 24.72 24.72 24.72
Positions (direct):
1 Ba 0.000 0.000 0.000
2 Sn 0.500 0.500 0.500
3 Te 0.109 0.109 0.109
4 Te 0.891 0.891 0.891


[5]
# Nd3PbI

A relaxed Nd3PbI crystal (PBE, Alexandria).

Summary:
Formation energy without anion corrections in eV/atom: -0.50
Magnetic moment in μB per formula unit: 0.00
DOS(E_F) in states/eV/atom: 1.00

abc: 9.348 6.521 11.168
angles: 90.00 107.10 90.00
Positions (direct):
1 Nd 0.033 0.100 0.286
2 Nd 0.033 0.400 0.786
3 Nd 0.183 0.642 0.533
4 Nd 0.183 0.858 0.033
5 Nd 0.423 0.212 0.866
6 Nd 0.423 0.288 0.366
7 Nd 0.577 0.712 0.634
8 Nd 0.577 0.788 0.134
9 Nd 0.817 0.142 0.967
10 Nd 0.817 0.358 0.467
11 Nd 0.967 0.600 0.214
12 Nd 0.967 0.900 0.714
13 Pb 0.351 0.707 0.833
14 Pb 0.351 0.793 0.333
15 Pb 0.649 0.207 0.667
16 Pb 0.649 0.293 0.167
17 I 0.176 0.162 0.584
18 I 0.176 0.338 0.084
19 I 0.824 0.662 0.916
20 I 0.824 0.838 0.416


Please write out number 4 again, unchanged.
# BaSnTe2

A relaxed BaSnTe2 crystal (PBE, Alexandria).

Summary:
Formation energy without anion corrections in eV/atom: -0.36
Magnetic moment in μB per formula unit: 0.42
DOS(E_F) in states/eV/atom: 0.78

abc: 10.410 10.410 10.410
angles: 24.72 24.72 24.72
Positions (direct):
1 Ba 0.000 0.000 0.000
2 Sn 0.500 0.500 0.500
3 Te 0.109 0.109 0.109
4 Te 0.891 0.891 0.891